Material: GeCCl2
Method: DFT, SCAN
State: PBEsol geometry

E (eV/atom): -9.8240
Calculated density (g cm⁻³): 3.83
Uncorrected formation energy (meV per atom): 1462
Total magnetic moment (μB per atom): 0.47
Calculated volume (Å³/atom): 16.9

abc: 4.569 4.569 4.569
angles: 60.00 60.00 60.00
Element x y z (fractional)
Ge 0.000 0.000 0.000
C 0.500 0.500 0.500
Cl 0.250 0.250 0.250
Cl 0.750 0.750 0.750